# ZrGaP

A relaxed structure of ZrGaP (PBE, Alexandria via LeMat-Bulk).

Results
As for the calculated volume: 207.4 Å³/cell. The formation energy comes out at -0.7536 eV/atom. As for the magnetic moment: 0.00 μB per cell. The value obtained for the total energy is -6.415 eV per atom.

Cell: 3.756 3.748 14.735 Å, 90.00 90.00 90.00°
Space group Amm2 (No. 38)
Symmetry-distinct sites (fractional):
Zr 0.000 0.000 0.000
Zr 0.500 0.000 0.208
Ga 0.000 0.000 0.352
Ga 0.500 0.000 0.532
P 0.000 0.000 0.649
P 0.500 0.000 0.853



# CeThZnSn

A relaxed structure of CeThZnSn (PBE, Alexandria via LeMat-Bulk).

Results
As for the calculated volume: 430.2 Å³/cell. The formation energy comes out at -0.3117 eV/atom. As for the magnetic moment: 5.50 μB per cell. The value obtained for the total energy is -4.969 eV per atom.

Cell: 7.549 7.549 7.549 Å, 90.00 90.00 90.00°
Space group F-43m (No. 216)
Symmetry-distinct sites (fractional):
Ce 0.000 0.000 0.000
Th 0.000 0.000 0.500
Zn 0.250 0.250 0.250
Sn 0.250 0.250 0.750



# CaLa15Ho4

A relaxed structure of CaLa15Ho4 (PBE, Alexandria via LeMat-Bulk).

Results
As for the calculated volume: 715.7 Å³/cell. The formation energy comes out at 0.0161 eV/atom. As for the magnetic moment: 0.00 μB per cell. The value obtained for the total energy is -4.695 eV per atom.

Cell: 5.227 5.227 26.193 Å, 90.00 90.00 90.00°
Space group P4/mmm (No. 123)
Symmetry-distinct sites (fractional):
Ca 0.000 0.000 0.000
La 0.000 0.500 0.104
La 0.000 0.500 0.301
La 0.000 0.500 0.500
La 0.500 0.500 0.000
La 0.500 0.500 0.202
La 0.500 0.500 0.400
Ho 0.000 0.000 0.202
Ho 0.000 0.000 0.401



# MnTlAg2Os

A relaxed structure of MnTlAg2Os (PBE, Alexandria via LeMat-Bulk).

Results
As for the calculated volume: 129.1 Å³/cell. The formation energy comes out at 2.0055 eV/atom. As for the magnetic moment: 6.66 μB per cell. The value obtained for the total energy is -3.688 eV per atom.

Cell: 5.060 5.060 5.041 Å, 90.00 90.00 90.00°
Space group P4/mmm (No. 123)
Symmetry-distinct sites (fractional):
Mn 0.000 0.000 0.000
Tl 0.000 0.000 0.500
Ag 0.000 0.500 0.500
Os 0.500 0.500 0.000



# InOs2Au

A relaxed structure of InOs2Au (PBE, Alexandria via LeMat-Bulk).

Results
As for the calculated volume: 132.3 Å³/cell. The formation energy comes out at 0.7339 eV/atom. As for the magnetic moment: 0.00 μB per cell. The value obtained for the total energy is -6.385 eV per atom.

Cell: 5.638 8.009 2.929 Å, 90.00 90.00 90.00°
Space group Cmmm (No. 65)
Symmetry-distinct sites (fractional):
In 0.000 0.000 0.000
Os 0.250 0.250 0.500
Au 0.000 0.500 0.000



# NpUV2

A relaxed structure of NpUV2 (PBE, Alexandria via LeMat-Bulk).

Results
As for the calculated volume: 205.1 Å³/cell. The formation energy comes out at 0.5639 eV/atom. As for the magnetic moment: 2.20 μB per cell. The value obtained for the total energy is -10.053 eV per atom.

Cell: 2.7638 2.7638 31.0028 Å, 90.00 90.00 120.00°
Space group R-3m (No. 166, hexagonal axes)
Symmetry-distinct sites (fractional):
Np 0.0000 0.0000 0.0000
U 0.0000 0.0000 0.5000
V 0.0000 0.0000 0.0837



# SrTbS2F

A relaxed structure of SrTbS2F (PBE, Alexandria via LeMat-Bulk).

Results
As for the calculated volume: 225.0 Å³/cell. As for the magnetic moment: 0.00 μB per cell. For the formation energy without anion corrections, the calculation gives -2593 meV per atom. The value obtained for the total energy is -5.881 eV per atom.

Cell: 3.989 3.989 14.138 Å, 90.00 90.00 90.00°
Space group P4/nmm (No. 129, origin choice 2)
Symmetry-distinct sites (fractional):
Sr 0.250 0.250 0.105
Tb 0.250 0.250 0.621
S 0.250 0.250 0.409
S 0.250 0.250 0.797
F 0.250 0.750 0.000



# CaTeSe

A relaxed structure of CaTeSe (PBE, Alexandria via LeMat-Bulk).

Results
As for the calculated volume: 186.8 Å³/cell. As for the magnetic moment: 0.00 μB per cell. For the formation energy without anion corrections, the calculation gives -1017 meV per atom. The value obtained for the total energy is -3.893 eV per atom.

Cell: 4.097 4.097 11.126 Å, 90.00 90.00 90.00°
Space group I4mm (No. 107)
Symmetry-distinct sites (fractional):
Ca 0.000 0.000 0.000
Te 0.000 0.000 0.362
Se 0.000 0.000 0.601



- calculated volume of number 1 (ZrGaP)?
  207.4 Å³/cell



- Look up the total energy of the third one.
  -4.695 eV per atom



- magnetic moment of number 7 (SrTbS2F)?
  0.00 μB per cell



- magnetic moment of number 8 (CaTeSe)?
  0.00 μB per cell